# Na2CrSbO4

An optimized crystal structure of Na2CrSbO4 (PBE+U, Alexandria).

```
Na2CrSbO4
1.0
-2.9431 -1.2956 -0.3300
2.1984 -4.1763 -3.2101
0.1059 -1.6617 5.5791
O Na Sb Cr
4 2 1 1
Cartesian
0.2133 -4.9940 1.8728 O
-0.8520 -2.1395 0.1661 O
1.5815 -3.2972 -1.1595 O
0.7229 -2.5407 3.5285 O
-1.4186 -1.4786 2.6245 Na
1.1522 -2.9190 1.1845 Na
0.0000 0.0000 0.0000 Sb
-0.3723 -2.7359 -1.7701 Cr
```

The calculation puts the total energy at -46.2 eV/cell. The space group is P2/m (10). The density of states at the Fermi level comes out at 1.0 states/eV/f.u. The magnetic moment comes out at 0.38 μB per atom.